Entry from Alexandria via LeMat-Bulk: a relaxed structure of YMgNbW2 (GGA-PBE).

Unit cell a=4.811 b=4.811 c=4.900 alpha=90.00 beta=90.00 gamma=90.00
Space group P4/mmm (No. 123)
One atom of each set of equivalent atoms:
Y1 0.000 0.000 0.000 x1
Mg1 0.000 0.000 0.500 x1
Nb1 0.500 0.500 0.500 x1
W1 0.000 0.500 0.000 x2

Output
- Magnetic moment: 0.0 μB/f.u.
- Energy of formation from the pure elements: 2.525 eV per atom
- Electronic total energy: -6.282 eV/atom